LaMoN3 | PBE | optimized geometry

As for the space group: P1, No. 1. For the mass density, the calculation gives 6.4 g cm⁻³. The value obtained for the total energy is -0.322 hartree per atom.

Lattice parameters (Å, degrees): 3.3430 6.5178 6.7641 94.56 91.75 103.60
Sites, in units of the cell vectors:
La (0.0000, 0.0000, 0.0000)
La (0.2629, 0.4874, 0.7170)
Mo (0.8530, 0.5049, 0.1648)
Mo (0.9274, 0.8821, 0.5324)
N (0.0387, 0.1495, 0.4129)
N (0.0761, 0.2849, 0.2887)
N (0.3870, 0.6736, 0.0908)
N (0.4401, 0.8935, 0.7058)
N (0.6745, 0.3082, 0.9343)
N (0.7835, 0.5860, 0.4721)